# 1
## NaTlCd2Ni (GGA-PBE)

Data for a relaxed structure of NaTlCd2Ni.

Structure (POSCAR):
```
NaTlCd2Ni
1.0
-1.8639 -4.2241 2.1016
-0.5591 -2.0460 -4.6081
4.6319 -1.9031 0.2830
Ni Tl Na Cd
1 1 1 2
Direct
0.0000 0.0000 0.0000
0.0000 0.0000 0.5000
0.5000 0.5000 0.5000
0.0000 0.5000 0.0000
0.5000 0.0000 0.0000
```

## Properties
* theoretical density: 6.57 g/cm3
* formation enthalpy at 0 K: 0.02 eV per atom
* DOS at the Fermi energy: 0.488 states/eV per atom
* calculated total energy: -2.24 eV/atom

---

# 2
## NaZnCd2Ni (GGA-PBE)

Data for a relaxed structure of NaZnCd2Ni.

Structure (POSCAR):
```
NaZnCd2Ni
1.0
5.0113 0.0000 0.0000
0.0000 5.0113 0.0000
0.0000 0.0000 4.6697
Ni Zn Na Cd
1 1 1 2
Direct
0.0000 0.0000 0.0000
0.0000 0.0000 0.5000
0.5000 0.5000 0.5000
0.0000 0.5000 0.0000
0.5000 0.0000 0.0000
```

## Properties
* theoretical density: 5.27 g/cm3
* formation enthalpy at 0 K: 0.03 eV per atom
* DOS at the Fermi energy: 0.372 states/eV per atom
* calculated total energy: -2.01 eV/atom

---

# 3
## NaNpCdO6 (GGA-PBE)

Data for a relaxed structure of NaNpCdO6.

Structure (POSCAR):
```
NaNpCdO6
1.0
4.6114 0.0000 0.0000
0.0000 5.6596 0.0000
0.0000 -2.8298 4.9013
Na Np Cd O
1 1 1 6
Direct
0.5000 0.6667 0.3333
0.5000 0.0000 0.0000
0.0000 0.3333 0.6667
0.7348 0.7025 0.7151
0.7348 0.2849 0.9874
0.7348 0.0126 0.2975
0.2652 0.2849 0.2975
0.2652 0.7025 0.9874
0.2652 0.0126 0.7151
```

## Properties
* theoretical density: 6.08 g/cm3
* DOS at the Fermi energy: 0.863 states/eV per atom
* calculated total energy: -6.56 eV/atom
* E_form (uncorrected): -1.566 eV/atom

---

# 4
## Na3NpCd2O6 (GGA-PBE)

Data for a relaxed structure of Na3NpCd2O6.

Structure (POSCAR):
```
Na3NpCd2O6
1.0
5.8208 -0.0088 0.0017
-2.9166 5.0374 0.0017
-0.9670 -1.6743 5.6153
Na Np Cd O
3 1 2 6
Direct
0.1742 0.8258 0.5000
0.8258 0.1742 0.5000
0.5000 0.5000 0.5000
0.0000 0.0000 0.0000
0.3326 0.6674 0.0000
0.6674 0.3326 0.0000
0.9241 0.6162 0.7742
0.7702 0.7702 0.2201
0.0759 0.3838 0.2258
0.6162 0.9241 0.7742
0.2298 0.2298 0.7799
0.3838 0.0759 0.2258
```

## Properties
* theoretical density: 6.33 g/cm3
* DOS at the Fermi energy: 0.654 states/eV per atom
* calculated total energy: -5.88 eV/atom
* E_form (uncorrected): -1.838 eV/atom

---

# 5
## Na2NpCdO4 (GGA-PBE)

Data for a relaxed structure of Na2NpCdO4.

Structure (POSCAR):
```
Na2NpCdO4
1.0
3.4568 0.0000 0.0000
0.0000 5.8201 0.0943
0.0000 -2.0394 5.6010
Na Np Cd O
2 1 1 4
Direct
0.5000 0.0000 0.5000
0.0000 0.5000 0.5000
0.5000 0.5000 0.0000
0.0000 0.0000 0.0000
0.5000 0.2609 0.2174
0.5000 0.7391 0.7826
0.0000 0.2797 0.7771
0.0000 0.7203 0.2229
```

## Properties
* theoretical density: 6.73 g/cm3
* DOS at the Fermi energy: 0.828 states/eV per atom
* calculated total energy: -6.51 eV/atom
* E_form (uncorrected): -1.968 eV/atom

---

# 6
## Na2NpCd3O6 (GGA-PBE)

Data for a relaxed structure of Na2NpCd3O6.

Structure (POSCAR):
```
Na2NpCd3O6
1.0
-0.0505 2.1005 5.5680
-4.8778 -2.5150 -2.3020
3.2346 -4.7148 0.7811
Na Np Cd O
2 1 3 6
Direct
0.3335 0.6665 0.0000
0.6665 0.3335 0.0000
0.0000 0.0000 0.0000
0.1759 0.8241 0.5000
0.8241 0.1759 0.5000
0.5000 0.5000 0.5000
0.9172 0.6079 0.7505
0.7787 0.7787 0.2282
0.0828 0.3921 0.2495
0.6079 0.9172 0.7505
0.2213 0.2213 0.7718
0.3921 0.0828 0.2495
```

## Properties
* theoretical density: 7.15 g/cm3
* DOS at the Fermi energy: 0.743 states/eV per atom
* calculated total energy: -5.66 eV/atom
* E_form (uncorrected): -1.650 eV/atom

---

# 7
## Na3Np2CdSe6 (GGA-PBE)

Data for a relaxed structure of Na3Np2CdSe6.

Structure (POSCAR):
```
Na3Np2CdSe6
1.0
7.1703 0.0021 0.0017
-3.5815 6.2117 0.0017
-1.1954 -2.0698 7.0034
Na Np Cd Se
3 2 1 6
Direct
0.1633 0.8367 0.5000
0.8367 0.1633 0.5000
0.5000 0.5000 0.5000
0.3329 0.6671 0.0000
0.6671 0.3329 0.0000
0.0000 0.0000 0.0000
0.9230 0.5851 0.7696
0.7384 0.7384 0.2302
0.0770 0.4149 0.2304
0.5851 0.9230 0.7696
0.2616 0.2616 0.7698
0.4149 0.0770 0.2304
```

## Properties
* theoretical density: 6.01 g/cm3
* DOS at the Fermi energy: 1.477 states/eV per atom
* calculated total energy: -5.38 eV/atom
* E_form (uncorrected): -1.078 eV/atom

---

# 8
## Na3CdO (GGA-PBE)

Data for a relaxed structure of Na3CdO.

Structure (POSCAR):
```
Na3CdO
1.0
-3.8305 -1.2567 -2.5339
-0.9422 -3.4552 3.1379
-2.6668 3.0257 2.5309
Na O Cd
3 1 1
Direct
0.0000 0.5000 0.0000
0.0000 0.0000 0.5000
0.5000 0.0000 0.0000
0.0000 0.0000 0.0000
0.5000 0.5000 0.5000
```

## Properties
* theoretical density: 3.04 g/cm3
* DOS at the Fermi energy: 0.894 states/eV per atom
* calculated total energy: -2.60 eV/atom
* energy relative to the lowest polymorph listed for this composition: 0 meV per atom
* E_form (uncorrected): -0.633 eV/atom

---

# 9
## NaCdO (GGA-PBE)

Data for a relaxed structure of NaCdO.

Structure (POSCAR):
```
NaCdO
1.0
-2.5605 5.4647 -2.5698
-4.4724 0.5294 5.5820
4.1873 3.3885 3.0336
Na Cd O
4 4 4
Direct
0.0000 0.0000 0.0000
0.5000 0.5000 0.5000
0.5000 0.5000 0.0000
0.0000 0.0000 0.5000
0.4823 0.9167 0.7500
0.0177 0.4167 0.2500
0.5177 0.0833 0.2500
0.9823 0.5833 0.7500
0.1634 0.8377 0.7500
0.3366 0.3377 0.2500
0.8366 0.1623 0.2500
0.6634 0.6623 0.7500
```

## Properties
* theoretical density: 3.46 g/cm3
* DOS at the Fermi energy: 0.225 states/eV per atom
* calculated total energy: -3.13 eV/atom
* energy relative to the lowest polymorph listed for this composition: 130 meV per atom
* E_form (uncorrected): -0.729 eV/atom

---

# 10
## NaCd3O2 (GGA-PBE)

Data for a relaxed structure of NaCd3O2.

Structure (POSCAR):
```
NaCd3O2
1.0
-3.2062 0.4545 -0.5154
-0.0525 -8.1351 3.5825
0.2362 7.1232 4.8121
Na Cd O
2 6 4
Direct
0.9284 0.8568 0.0444
0.0716 0.1432 0.9556
0.3085 0.6170 0.6590
0.9317 0.8634 0.5456
0.6901 0.3802 0.8013
0.3099 0.6198 0.1987
0.0683 0.1366 0.4544
0.6915 0.3830 0.3410
0.4561 0.9122 0.7584
0.5439 0.0878 0.2416
0.6942 0.3884 0.0766
0.3058 0.6116 0.9234
```

## Properties
* theoretical density: 6.29 g/cm3
* DOS at the Fermi energy: 0.096 states/eV per atom
* calculated total energy: -3.10 eV/atom
* E_form (uncorrected): -0.769 eV/atom

---

# 11
## NaCd2O (GGA-PBE)

Data for a relaxed structure of NaCd2O.

Structure (POSCAR):
```
NaCd2O
1.0
-0.1647 7.3343 -3.4391
-6.7406 -2.0318 -4.0102
-4.7839 3.4749 -1.9043
Na O Cd
2 2 4
Direct
0.0000 0.0000 0.0000
0.7500 0.2500 0.5000
0.5000 0.5000 0.0000
0.2500 0.7500 0.5000
0.5261 0.1250 0.2500
0.2239 0.6250 0.2500
0.3750 0.4739 0.7500
0.8750 0.7761 0.7500
```

## Properties
* theoretical density: 5.56 g/cm3
* DOS at the Fermi energy: 0.305 states/eV per atom
* calculated total energy: -2.54 eV/atom
* E_form (uncorrected): -0.508 eV/atom

---

# 12
## NaCdO4 (GGA-PBE)

Data for a relaxed structure of NaCdO4.

Structure (POSCAR):
```
NaCdO4
1.0
-4.5521 -4.6748 1.0288
2.2215 -5.9857 -0.9550
2.2916 5.1116 3.9531
Na Cd O
2 2 8
Direct
0.1336 0.8836 0.7672
0.8664 0.1164 0.2328
0.3872 0.6372 0.2744
0.6128 0.3628 0.7256
0.9990 0.2851 0.0994
0.7801 0.5074 0.6209
0.6005 0.8143 0.0994
0.3408 0.1135 0.6209
0.6592 0.8865 0.3791
0.3995 0.1857 0.9006
0.2199 0.4926 0.3791
0.0010 0.7149 0.9006
```

## Properties
* theoretical density: 4.07 g/cm3
* DOS at the Fermi energy: 0.640 states/eV per atom
* calculated total energy: -4.30 eV/atom
* E_form (uncorrected): -0.625 eV/atom